--- 1 ---
! Mg3TlNi (PBE, optimized geometry); values from VASP
! total moment: 0.85 μB per cell
! Fermi-level density of states: 1.179 states/eV/atom
! volume: 29.01 A^3/atom
&SYSTEM
  ibrav = 0, nat = 5, ntyp = 3
/
ATOMIC_SPECIES
Mg 24.30 Mg.upf
Tl 204.38 Tl.upf
Ni 58.69 Ni.upf
CELL_PARAMETERS angstrom
5.254 0.000 0.000
0.000 5.254 0.000
0.000 0.000 5.254
ATOMIC_POSITIONS crystal
Mg 0.000 0.000 0.500
Mg 0.000 0.500 0.000
Mg 0.500 0.000 0.000
Tl 0.000 0.000 0.000
Ni 0.500 0.500 0.500

---

--- 2 ---
! Mg3TlNi (PBE, optimized geometry); values from VASP
! total moment: 0.00 μB per cell
! Fermi-level density of states: 0.476 states/eV/atom
! volume: 23.43 A^3/atom
&SYSTEM
  ibrav = 0, nat = 5, ntyp = 3
/
ATOMIC_SPECIES
Mg 24.30 Mg.upf
Tl 204.38 Tl.upf
Ni 58.69 Ni.upf
CELL_PARAMETERS angstrom
4.893 0.000 0.000
0.000 4.893 0.000
0.000 0.000 4.893
ATOMIC_POSITIONS crystal
Mg 0.000 0.000 0.500
Mg 0.000 0.500 0.000
Mg 0.500 0.000 0.000
Tl 0.500 0.500 0.500
Ni 0.000 0.000 0.000

---

Least stable: 1

---

--- 1 ---
! Mg8TlNi2 (PBE, optimized geometry); values from VASP
! total moment: 0.00 μB per cell
! Fermi-level density of states: 0.339 states/eV/atom
! volume: 25.41 A^3/atom
&SYSTEM
  ibrav = 0, nat = 11, ntyp = 3
/
ATOMIC_SPECIES
Mg 24.30 Mg.upf
Tl 204.38 Tl.upf
Ni 58.69 Ni.upf
CELL_PARAMETERS angstrom
10.308 -2.770 0.000
10.308 2.770 0.000
-0.042 0.000 4.894
ATOMIC_POSITIONS crystal
Mg 0.174 0.174 0.502
Mg 0.177 0.678 0.997
Mg 0.296 0.296 0.000
Mg 0.322 0.823 0.003
Mg 0.678 0.177 0.997
Mg 0.704 0.704 0.000
Mg 0.823 0.322 0.003
Mg 0.826 0.826 0.498
Tl 0.000 0.000 0.500
Ni 0.174 0.174 0.002
Ni 0.826 0.826 0.998

---

--- 2 ---
! Mg8TlNi2 (PBE, optimized geometry); values from VASP
! total moment: 0.00 μB per cell
! Fermi-level density of states: 0.447 states/eV/atom
! volume: 20.79 A^3/atom
&SYSTEM
  ibrav = 0, nat = 11, ntyp = 3
/
ATOMIC_SPECIES
Mg 24.30 Mg.upf
Tl 204.38 Tl.upf
Ni 58.69 Ni.upf
CELL_PARAMETERS angstrom
3.991 -5.932 0.000
3.991 5.932 0.000
-1.201 0.000 4.829
ATOMIC_POSITIONS crystal
Mg 0.106 0.106 0.791
Mg 0.168 0.437 0.420
Mg 0.244 0.756 0.000
Mg 0.437 0.168 0.420
Mg 0.563 0.832 0.580
Mg 0.756 0.244 0.000
Mg 0.832 0.563 0.580
Mg 0.894 0.894 0.209
Tl 0.500 0.500 0.000
Ni 0.184 0.816 0.500
Ni 0.816 0.184 0.500

---

Least stable: 1